Record 1
This record from Alexandria via LeMat-Bulk describes a relaxed Bi2PdPt2 crystal. The functional is PBE.

Cell lengths 7.8059, 7.8059, 3.5466 Å; angles 90.00, 90.00, 90.00 degrees
Fractional positions:
Pd: 0.0000 0.0000 0.0000
Bi: 0.1663 0.3337 0.0000
Bi: 0.3337 0.8337 0.0000
Pt: 0.8667 0.3667 0.5000
Pt: 0.1333 0.6333 0.5000
Pd: 0.5000 0.5000 0.0000
Pt: 0.3667 0.1333 0.5000
Bi: 0.8337 0.6663 0.0000
Pt: 0.6333 0.8667 0.5000
Bi: 0.6663 0.1663 0.0000

Values from the calculation:
* crystal system: tetragonal
* energy: -0.183 hartree per atom
* symmetry: P4/mbm, No. 127


Record 2
This record from Alexandria via LeMat-Bulk describes a relaxed BiPd6Pt crystal. The functional is PBE.

Cell lengths 4.0787, 5.6867, 5.6867 Å; angles 89.96, 90.00, 90.00 degrees
Fractional positions:
Pd: 0.0000 0.7562 0.2438
Pd: 0.0000 0.2439 0.2439
Bi: 0.5000 0.5000 0.5000
Pd: 0.5000 0.0000 0.5000
Pd: 0.0000 0.2438 0.7562
Pt: 0.5000 0.0000 0.0000
Pd: 0.5000 0.5000 0.0000
Pd: 0.0000 0.7561 0.7561

Values from the calculation:
* crystal system: tetragonal
* energy: -0.194 hartree per atom
* symmetry: P4/mmm, No. 123


Record 3
This record from Alexandria via LeMat-Bulk describes a relaxed BiPdPt3 crystal. The functional is PBE.

Cell lengths 5.0386, 5.0386, 5.0386 Å; angles 90.00, 90.00, 90.00 degrees
Fractional positions:
Pd: 0.5000 0.5000 0.5000
Pt: 0.0000 0.0000 0.5000
Pt: 0.5000 0.0000 0.0000
Bi: 0.0000 0.0000 0.0000
Pt: 0.0000 0.5000 0.0000

Values from the calculation:
* crystal system: cubic
* energy: -0.152 hartree per atom
* symmetry: Pm-3m, No. 221


Record 4
This record from Alexandria via LeMat-Bulk describes a relaxed Bi5Pd2Pt crystal. The functional is PBE.

Cell lengths 5.3610, 7.5236, 13.5058 Å; angles 90.00, 90.00, 110.87 degrees
Fractional positions:
Bi: 0.9541 0.9082 0.8842
Pd: 0.8575 0.7150 0.4356
Bi: 0.2984 0.5968 0.0714
Pd: 0.8575 0.7150 0.0644
Bi: 0.0459 0.0918 0.1158
Bi: 0.7016 0.4032 0.5714
Pd: 0.1425 0.2850 0.5644
Bi: 0.9541 0.9082 0.6158
Bi: 0.2372 0.4743 0.7500
Bi: 0.7628 0.5257 0.2500
Pt: 0.1901 0.3802 0.2500
Bi: 0.7016 0.4032 0.9286
Bi: 0.2984 0.5968 0.4286
Pt: 0.8099 0.6198 0.7500
Bi: 0.0459 0.0918 0.3842
Pd: 0.1425 0.2850 0.9356

Values from the calculation:
* crystal system: orthorhombic
* energy: -0.166 hartree per atom
* symmetry: Cmcm, No. 63


Record 5
This record from Alexandria via LeMat-Bulk describes a relaxed BiPd2Pt crystal. The functional is PBE.

Cell lengths 3.5422, 3.5422, 5.8170 Å; angles 90.00, 90.00, 90.00 degrees
Fractional positions:
Pt: 0.5000 0.5000 0.0000
Pd: 0.0000 0.0000 0.7624
Pd: 0.0000 0.0000 0.2376
Bi: 0.5000 0.5000 0.5000

Values from the calculation:
* crystal system: tetragonal
* energy: -0.190 hartree per atom
* symmetry: P4/mmm, No. 123


Record 6
This record from Alexandria via LeMat-Bulk describes a relaxed Bi4Pd2Pt crystal. The functional is PBE.

Cell lengths 4.5782, 4.5782, 9.9393 Å; angles 76.68, 76.68, 60.00 degrees
Fractional positions:
Bi: 0.8769 0.8769 0.3693
Bi: 0.7020 0.7020 0.8941
Pd: 0.4025 0.4025 0.7925
Pt: 0.5000 0.5000 0.5000
Bi: 0.1231 0.1231 0.6307
Bi: 0.2980 0.2980 0.1059
Pd: 0.5975 0.5975 0.2075

Values from the calculation:
* crystal system: trigonal
* energy: -0.177 hartree per atom
* symmetry: R-3m, No. 166


> energy of number 3 (BiPdPt3)?

-0.152 hartree per atom


> Among the records above, which one has the highest energy?

BiPdPt3


Please write out number 4 again, unchanged.
This record from Alexandria via LeMat-Bulk describes a relaxed Bi5Pd2Pt crystal. The functional is PBE.

Cell lengths 5.3610, 7.5236, 13.5058 Å; angles 90.00, 90.00, 110.87 degrees
Fractional positions:
Bi: 0.9541 0.9082 0.8842
Pd: 0.8575 0.7150 0.4356
Bi: 0.2984 0.5968 0.0714
Pd: 0.8575 0.7150 0.0644
Bi: 0.0459 0.0918 0.1158
Bi: 0.7016 0.4032 0.5714
Pd: 0.1425 0.2850 0.5644
Bi: 0.9541 0.9082 0.6158
Bi: 0.2372 0.4743 0.7500
Bi: 0.7628 0.5257 0.2500
Pt: 0.1901 0.3802 0.2500
Bi: 0.7016 0.4032 0.9286
Bi: 0.2984 0.5968 0.4286
Pt: 0.8099 0.6198 0.7500
Bi: 0.0459 0.0918 0.3842
Pd: 0.1425 0.2850 0.9356

Values from the calculation:
* crystal system: orthorhombic
* energy: -0.166 hartree per atom
* symmetry: Cmcm, No. 63


> energy of number 6 (Bi4Pd2Pt)?

-0.177 hartree per atom